No. 1
DFT (PBE-GGA) results for Pm5NiPb4 after structural relaxation.

Cell lengths 9.872, 9.872, 6.404 Å; angles 90.00, 90.00, 90.00 degrees
Space group I4 (No. 79)
One atom of each set of equivalent atoms:
1 Pm 0.000 0.000 0.000
2 Pm 0.101 0.258 0.505
3 Ni 0.000 0.000 0.497
4 Pb 0.075 0.319 0.005

Results
- Density of states at the Fermi level: 0.70 states/eV per atom
- E_form: -0.3017 eV/atom

---

No. 2
DFT (PBE-GGA) results for Ba2HgSe after structural relaxation.

Cell lengths 4.6766, 4.6766, 25.7378 Å; angles 90.00, 90.00, 120.00 degrees
Space group R-3m (No. 166, hexagonal axes)
One atom of each set of equivalent atoms:
1 Ba 0.0000 0.0000 0.2413
2 Hg 0.0000 0.0000 0.0000
3 Se 0.0000 0.0000 0.5000

Results
- Density of states at the Fermi level: 0.96 states/eV per atom
- ΔE to the lowest computed polymorph: 0 kJ/mol of formula units

---

No. 3
DFT (PBE-GGA) results for NaLi2Sn5 after structural relaxation.

Cell lengths 5.030, 6.553, 13.001 Å; angles 90.00, 90.00, 90.00 degrees
Space group Immm (No. 71)
One atom of each set of equivalent atoms:
1 Na 0.000 0.000 0.000
2 Li 0.000 0.500 0.214
3 Sn 0.000 0.235 0.384
4 Sn 0.000 0.500 0.000

Results
- Density of states at the Fermi level: 0.29 states/eV per atom
- E_form: -0.1164 eV/atom

---

No. 4
DFT (PBE-GGA) results for CdRuAu2 after structural relaxation.

Cell lengths 3.950, 3.950, 19.712 Å; angles 90.00, 90.00, 90.00 degrees
Space group I-42d (No. 122)
One atom of each set of equivalent atoms:
1 Cd 0.000 0.000 0.000
2 Ru 0.000 0.000 0.500
3 Au 0.244 0.250 0.625

Results
- Density of states at the Fermi level: 0.90 states/eV per atom
- E_form: 0.5170 eV/atom

---

No. 5
DFT (PBE-GGA) results for ScSnIr after structural relaxation.

Cell lengths 3.494, 3.494, 21.197 Å; angles 90.00, 90.00, 90.00 degrees
Space group I4/mmm (No. 139)
One atom of each set of equivalent atoms:
1 Sc 0.000 0.000 0.160
2 Sn 0.000 0.000 0.429
3 Ir 0.000 0.000 0.292

Results
- Density of states at the Fermi level: 0.91 states/eV per atom
- E_form: -0.3925 eV/atom

---

No. 6
DFT (PBE-GGA) results for AsP2Ir after structural relaxation.

Cell lengths 3.408, 3.667, 11.300 Å; angles 90.00, 90.00, 90.00 degrees
Space group Imm2 (No. 44)
One atom of each set of equivalent atoms:
1 As 0.000 0.000 0.000
2 P 0.000 0.000 0.686
3 P 0.000 0.500 0.329
4 Ir 0.000 0.500 0.837

Results
- Density of states at the Fermi level: 0.42 states/eV per atom
- E_form: 0.1762 eV/atom

---

No. 7
DFT (PBE-GGA) results for La6PrYTm2 after structural relaxation.

Cell lengths 11.351, 7.262, 8.935 Å; angles 90.00, 103.14, 90.00 degrees
Space group C2/m (No. 12)
One atom of each set of equivalent atoms:
1 La 0.139 0.000 0.441
2 La 0.179 0.281 0.803
3 Pr 0.000 0.000 0.000
4 Y 0.000 0.500 0.500
5 Tm 0.091 0.500 0.164

Results
- Density of states at the Fermi level: 1.88 states/eV per atom
- E_form: 0.1876 eV/atom

---

No. 8
DFT (PBE-GGA) results for CaNiP after structural relaxation.

Cell lengths 6.001, 6.001, 6.001 Å; angles 90.00, 90.00, 90.00 degrees
Space group F-43m (No. 216)
One atom of each set of equivalent atoms:
1 Ca 0.000 0.000 0.000
2 Ni 0.250 0.250 0.250
3 P 0.000 0.000 0.500

Results
- Density of states at the Fermi level: 1.28 states/eV per atom
- E_form: -0.4459 eV/atom

---

No. 9
DFT (PBE-GGA) results for Tl2IrOs after structural relaxation.

Cell lengths 7.639, 7.639, 5.568 Å; angles 90.00, 90.00, 90.00 degrees
Space group I-42d (No. 122)
One atom of each set of equivalent atoms:
1 Tl 0.248 0.250 0.125
2 Ir 0.000 0.000 0.000
3 Os 0.000 0.000 0.500

Results
- Density of states at the Fermi level: 1.18 states/eV per atom
- E_form: 1.2581 eV/atom
- ΔE to the lowest computed polymorph: 287 kJ/mol of formula units

---

No. 10
DFT (PBE-GGA) results for HgP2Os after structural relaxation.

Cell lengths 8.248, 2.992, 6.555 Å; angles 90.00, 102.47, 90.00 degrees
Space group Cm (No. 8)
One atom of each set of equivalent atoms:
1 Hg 0.000 0.000 0.000
2 P 0.195 0.500 0.586
3 P 0.323 0.500 0.323
4 Os 0.418 0.000 0.612

Results
- Density of states at the Fermi level: 0.02 states/eV per atom
- E_form: 0.0680 eV/atom

---

No. 11
DFT (PBE-GGA) results for Li2CaLa2Sn2 after structural relaxation.

Cell lengths 4.8664, 4.8664, 28.2226 Å; angles 90.00, 90.00, 120.00 degrees
Space group R-3m (No. 166, hexagonal axes)
One atom of each set of equivalent atoms:
1 Li 0.0000 0.0000 0.0998
2 Ca 0.0000 0.0000 0.5000
3 La 0.0000 0.0000 0.3675
4 Sn 0.0000 0.0000 0.2382

Results
- Density of states at the Fermi level: 0.53 states/eV per atom
- E_form: -0.4983 eV/atom

---

No. 12
DFT (PBE-GGA) results for NpTl3I6 after structural relaxation.

Cell lengths 10.247, 12.647, 16.133 Å; angles 90.00, 90.00, 90.00 degrees
Space group Fmmm (No. 69)
One atom of each set of equivalent atoms:
1 Np 0.000 0.000 0.000
2 Tl 0.000 0.000 0.500
3 Tl 0.250 0.250 0.250
4 I 0.000 0.240 0.000
5 I 0.223 0.000 0.133

Results
- Density of states at the Fermi level: 0.61 states/eV per atom
- ΔE to the lowest computed polymorph: 89 kJ/mol of formula units

---

No. 13
DFT (PBE-GGA) results for InHg2Pd6 after structural relaxation.

Cell lengths 14.504, 7.763, 2.922 Å; angles 90.00, 101.54, 90.00 degrees
Space group C2/m (No. 12)
One atom of each set of equivalent atoms:
1 In 0.000 0.000 0.000
2 Hg 0.165 0.500 0.662
3 Pd 0.000 0.303 0.500
4 Pd 0.166 0.185 0.164

Results
- Density of states at the Fermi level: 0.41 states/eV per atom
- E_form: -0.1357 eV/atom
- ΔE to the lowest computed polymorph: 68 kJ/mol of formula units

---

No. 14
DFT (PBE-GGA) results for VH2Ir after structural relaxation.

Cell lengths 5.205, 5.205, 5.205 Å; angles 90.00, 90.00, 90.00 degrees
Space group Fm-3m (No. 225)
One atom of each set of equivalent atoms:
1 V 0.000 0.000 0.000
2 H 0.250 0.250 0.250
3 Ir 0.000 0.000 0.500

Results
- Density of states at the Fermi level: 0.91 states/eV per atom
- ΔE to the lowest computed polymorph: 192 kJ/mol of formula units

---

No. 15
DFT (PBE-GGA) results for TbSm4Mg3 after structural relaxation.

Cell lengths 3.832, 5.545, 11.182 Å; angles 90.00, 90.00, 90.00 degrees
Space group Pmmm (No. 47)
One atom of each set of equivalent atoms:
1 Tb 0.000 0.000 0.000
2 Sm 0.500 0.000 0.262
3 Sm 0.500 0.500 0.000
4 Sm 0.500 0.500 0.500
5 Mg 0.000 0.000 0.500
6 Mg 0.000 0.500 0.251

Results
- Density of states at the Fermi level: 1.25 states/eV per atom
- E_form: -0.0298 eV/atom

---

No. 16
DFT (PBE-GGA) results for Pm2Dy2Sn7 after structural relaxation.

Cell lengths 9.125, 10.867, 7.204 Å; angles 90.00, 90.00, 90.00 degrees
Space group Cmmm (No. 65)
One atom of each set of equivalent atoms:
1 Pm 0.000 0.216 0.000
2 Dy 0.189 0.500 0.500
3 Sn 0.000 0.000 0.302
4 Sn 0.000 0.500 0.000
5 Sn 0.250 0.250 0.298

Results
- Density of states at the Fermi level: 0.51 states/eV per atom
- E_form: -0.1954 eV/atom

---

No. 17
DFT (PBE-GGA) results for KVBi2 after structural relaxation.

Cell lengths 7.609, 7.609, 7.609 Å; angles 90.00, 90.00, 90.00 degrees
Space group Fm-3m (No. 225)
One atom of each set of equivalent atoms:
1 K 0.000 0.000 0.000
2 V 0.000 0.000 0.500
3 Bi 0.250 0.250 0.250

Results
- Density of states at the Fermi level: 0.51 states/eV per atom
- E_form: 0.2935 eV/atom
- ΔE to the lowest computed polymorph: 100 kJ/mol of formula units

---

No. 18
DFT (PBE-GGA) results for CsNa3In after structural relaxation.

Cell lengths 17.443, 12.201, 8.238 Å; angles 90.00, 103.18, 90.00 degrees
Space group C2/c (No. 15)
One atom of each set of equivalent atoms:
1 Cs 0.000 0.015 0.250
2 Cs 0.000 0.355 0.750
3 Na 0.176 0.496 0.091
4 Na 0.189 0.167 0.101
5 Na 0.201 0.161 0.594
6 In 0.087 0.319 0.306

Results
- Density of states at the Fermi level: 0.56 states/eV per atom
- E_form: -0.0069 eV/atom
- ΔE to the lowest computed polymorph: 4 kJ/mol of formula units

---

No. 19
DFT (PBE-GGA) results for BaGa4Cu2 after structural relaxation.

Cell lengths 7.925, 9.319, 4.916 Å; angles 90.00, 128.28, 90.00 degrees
Space group C2/m (No. 12)
One atom of each set of equivalent atoms:
1 Ba 0.000 0.000 0.000
2 Ga 0.223 0.188 0.724
3 Cu 0.001 0.500 0.247

Results
- Density of states at the Fermi level: 0.43 states/eV per atom
- E_form: -0.0721 eV/atom
- ΔE to the lowest computed polymorph: 83 kJ/mol of formula units

---

No. 20
DFT (PBE-GGA) results for PmTh2As3 after structural relaxation.

Cell lengths 4.244, 6.002, 12.766 Å; angles 90.00, 90.00, 90.00 degrees
Space group Immm (No. 71)
One atom of each set of equivalent atoms:
1 Pm 0.000 0.000 0.000
2 Th 0.000 0.000 0.334
3 As 0.000 0.500 0.000
4 As 0.000 0.500 0.333

Results
- Density of states at the Fermi level: 0.42 states/eV per atom
- E_form: -1.4548 eV/atom